[1]
## CdRe2Rh (PBE)

Data for a relaxed CdRe2Rh crystal.

The value obtained for the total energy is -7.275 eV/atom. The total moment comes out at 0.00 μB per atom.

```
8
Lattice="-3.7477 3.7477 2.5625 3.7477 -3.7477 2.5625 3.7477 3.7477 -2.5625" Properties=species:S:1:pos:R:3 pbc="T T T"
Cd 0.0000 0.0000 0.0000
Cd 0.0000 3.7477 1.2812
Re 1.8738 -1.4976 1.9218
Re 2.2501 1.8738 0.6406
Re 1.8738 5.2453 -0.6406
Re 1.4976 1.8738 3.2031
Rh 3.7477 0.0000 1.2812
Rh 0.0000 0.0000 2.5625
```


[2]
## CdRe2Rh (PBE)

Data for a relaxed CdRe2Rh crystal.

The value obtained for the total energy is -7.798 eV/atom. The total moment comes out at 0.00 μB per atom.

```
4
Lattice="2.6342 -4.3812 0.0000 2.6342 4.3812 0.0000 0.0000 0.0000 2.7355" Properties=species:S:1:pos:R:3 pbc="T T T"
Cd 0.0000 0.0000 0.0000
Re 1.3171 2.1906 1.3677
Re 1.3171 -2.1906 1.3677
Rh 2.6342 0.0000 0.0000
```


[3]
## Cd2ReRh (PBE)

Data for a relaxed Cd2ReRh crystal.

The value obtained for the total energy is -4.960 eV/atom. The total moment comes out at 0.00 μB per atom.

```
4
Lattice="2.7958 0.0000 0.0000 0.0000 2.7958 0.0000 0.0000 0.0000 8.7286" Properties=species:S:1:pos:R:3 pbc="T T T"
Cd 0.0000 0.0000 2.0771
Cd 0.0000 0.0000 6.6515
Re 1.3979 1.3979 4.3643
Rh 1.3979 1.3979 0.0000
```


[4]
## Cd2ReRh (PBE)

Data for a relaxed Cd2ReRh crystal.

The value obtained for the total energy is -4.764 eV/atom. The total moment comes out at 0.61 μB per atom.

```
4
Lattice="0.0000 3.2587 3.2587 3.2587 0.0000 3.2587 3.2587 3.2587 0.0000" Properties=species:S:1:pos:R:3 pbc="T T T"
Cd 1.6293 1.6293 1.6293
Cd 4.8880 4.8880 4.8880
Re 0.0000 0.0000 0.0000
Rh 3.2587 3.2587 3.2587
```